[1]
An optimized crystal structure of K2LiZr2Te6, computed with PBE.

Values from the calculation:
- VASP energy (hartree per atom) = -0.167

a = 7.1971 Å, b = 12.4811 Å, c = 8.8943 Å
α = 90.00°, β = 105.37°, γ = 90.00°
With the nearest neighbours (Å) after each atom.
Space group C2/m (No. 12)
Unique sites:
K 0.0000 0.1643 0.0000 (multiplicity 4)  6 Te 3.52-3.55
Li 0.0000 0.0000 0.5000 (multiplicity 2)  6 Te 2.98-3.04
Zr 0.0000 0.3322 0.5000 (multiplicity 4)  6 Te 2.91-2.92
Te 0.2159 0.5000 0.6999 (multiplicity 4)  2 Zr 2.92, 1 Li 3.04
Te 0.2367 0.1695 0.6984 (multiplicity 8)  2 Zr 2.91-2.92, 1 Li 2.98

[2]
An optimized crystal structure of KLiTi2, computed with PBE.

Values from the calculation:
- polymorph energy (0 for the lowest one) (eV per atom) = 0.000
- energy relative to the elements (kJ/mol of formula units) = 365

a = 3.8526 Å, b = 3.8526 Å, c = 24.5149 Å
α = 90.00°, β = 90.00°, γ = 90.00°
With the nearest neighbours (Å) after each atom.
Space group I-42d (No. 122)
Unique sites:
K 0.0000 0.0000 0.0000 (multiplicity 4)  4 Li 2.72
Li 0.0000 0.0000 0.5000 (multiplicity 4)  4 K 2.72
Ti 0.2382 0.7500 0.6250 (multiplicity 8)  4 Ti 2.66-2.79

[3]
An optimized crystal structure of K2LiTi2, computed with PBE.

Values from the calculation:
- polymorph energy (0 for the lowest one) (eV per atom) = 0.133
- energy relative to the elements (kJ/mol of formula units) = 544

a = 4.6201 Å, b = 4.6201 Å, c = 16.0897 Å
α = 90.00°, β = 90.00°, γ = 90.00°
With the nearest neighbours (Å) after each atom.
Space group I4/mmm (No. 139)
Unique sites:
K 0.0000 0.5000 0.2500 (multiplicity 4)  4 K 3.27
Li 0.0000 0.0000 0.0000 (multiplicity 2)  8 Ti 3.42
Ti 0.0000 0.0000 0.4378 (multiplicity 4)  1 Ti 2.00

[4]
An optimized crystal structure of K2LiTi, computed with PBE.

Values from the calculation:
- polymorph energy (0 for the lowest one) (eV per atom) = 0.000
- energy relative to the elements (kJ/mol of formula units) = 361

a = 8.7170 Å, b = 8.7170 Å, c = 8.7170 Å
α = 90.00°, β = 90.00°, γ = 90.00°
With the nearest neighbours (Å) after each atom.
Space group Fm-3m (No. 225)
Unique sites:
K 0.2500 0.2500 0.2500 (multiplicity 8)  4 Ti 3.77, 4 Li 3.77
Li 0.0000 0.0000 0.0000 (multiplicity 4)  8 K 3.77
Ti 0.0000 0.0000 0.5000 (multiplicity 4)  8 K 3.77

[5]
An optimized crystal structure of K2LiTi2, computed with PBE.

Values from the calculation:
- polymorph energy (0 for the lowest one) (eV per atom) = 0.000
- energy relative to the elements (kJ/mol of formula units) = 480

a = 10.6920 Å, b = 10.6920 Å, c = 3.1689 Å
α = 90.00°, β = 90.00°, γ = 90.00°
With the nearest neighbours (Å) after each atom.
Space group P4/mbm (No. 127)
Unique sites:
K 0.2099 0.2901 0.0000 (multiplicity 4)  2 K 3.17
Li 0.0000 0.0000 0.5000 (multiplicity 2)  2 Li 3.17
Ti 0.0703 0.5703 0.5000 (multiplicity 4)  1 Ti 2.13

[6]
An optimized crystal structure of KLiTi2, computed with PBE.

Values from the calculation:
- polymorph energy (0 for the lowest one) (eV per atom) = 0.352
- energy relative to the elements (kJ/mol of formula units) = 501

a = 7.2819 Å, b = 7.2819 Å, c = 7.2819 Å
α = 90.00°, β = 90.00°, γ = 90.00°
With the nearest neighbours (Å) after each atom.
Space group Fm-3m (No. 225)
Unique sites:
K 0.0000 0.0000 0.0000 (multiplicity 4)  8 Ti 3.15
Li 0.0000 0.0000 0.5000 (multiplicity 4)  8 Ti 3.15
Ti 0.2500 0.2500 0.2500 (multiplicity 8)  4 K 3.15, 4 Li 3.15

[7]
An optimized crystal structure of K2LiTi, computed with PBE.

Values from the calculation:
- polymorph energy (0 for the lowest one) (eV per atom) = 0.023
- energy relative to the elements (kJ/mol of formula units) = 370

a = 9.7520 Å, b = 9.7520 Å, c = 6.7836 Å
α = 90.00°, β = 90.00°, γ = 90.00°
With the nearest neighbours (Å) after each atom.
Space group I-42d (No. 122)
Unique sites:
K 0.2230 0.2500 0.1250 (multiplicity 8)  2 Li 3.38, 2 K 3.43, 2 Ti 3.74
Li 0.0000 0.0000 0.0000 (multiplicity 4)  4 K 3.38, 2 Ti 3.39
Ti 0.0000 0.0000 0.5000 (multiplicity 4)  2 Li 3.39, 4 K 3.74

[8]
An optimized crystal structure of K2LiTl, computed with PBE.

Values from the calculation:
- polymorph energy (0 for the lowest one) (eV per atom) = 0.185
- energy relative to the elements (kJ/mol of formula units) = 54

a = 4.0188 Å, b = 4.0188 Å, c = 36.0029 Å
α = 90.00°, β = 90.00°, γ = 120.00°
With the nearest neighbours (Å) after each atom.
Space group R-3m (No. 166, hexagonal axes)
Unique sites:
K 0.0000 0.0000 0.2475 (multiplicity 6)  3 Tl 3.72, 3 Li 3.87, 6 K 4.02
Li 0.0000 0.0000 0.0000 (multiplicity 3)  6 K 3.87, 6 Li 4.02
Tl 0.0000 0.0000 0.5000 (multiplicity 3)  6 K 3.72, 6 Tl 4.02